Here is a PBEsol-optimized structure of SiAuS3 from Alexandria. Energies are from meta-GGA SCAN.

Unit cell a=4.4453 b=4.4453 c=4.4453 alpha=90.00 beta=90.00 gamma=90.00
With the nearest neighbours (Å) after each atom.
Space group Pm-3m (No. 221)
Asymmetric unit:
Si (0.0000, 0.0000, 0.0000)  6 S 2.22
Au (0.5000, 0.5000, 0.5000)  12 S 3.14
S (0.0000, 0.0000, 0.5000)  2 Si 2.22

Here is a PBEsol-optimized structure of Ta2Mo3 from Alexandria. Energies are from meta-GGA SCAN.

Unit cell a=13.1002 b=4.4723 c=2.7749 alpha=90.00 beta=98.32 gamma=90.00
With the nearest neighbours (Å) after each atom.
Space group C2/m (No. 12)
Asymmetric unit:
Ta (0.1013, 0.0000, 0.3932)  5 Mo 2.73-2.76, 3 Ta 2.77-2.80
Mo (0.0000, 0.5000, 0.0000)  4 Ta 2.74, 4 Mo 2.76-2.77
Mo (0.2010, 0.5000, 0.8097)  5 Mo 2.71-2.77, 3 Ta 2.73-2.76

Properties
Distance to the lowest polymorph of the same formula = 0.376 eV/f.u.
ΔH_f (0 K) = -0.66 eV/f.u.

Here is a PBEsol-optimized structure of CuOsRh2 from Alexandria. Energies are from meta-GGA SCAN.

Unit cell a=3.6946 b=3.6946 c=7.7005 alpha=90.00 beta=90.00 gamma=90.00
With the nearest neighbours (Å) after each atom.
Space group I-4m2 (No. 119)
Asymmetric unit:
Cu (0.0000, 0.0000, 0.0000)  8 Rh 2.61-2.67, 4 Os 2.67
Os (0.0000, 0.5000, 0.2500)  8 Rh 2.61-2.67, 4 Cu 2.67
Rh (0.0000, 0.0000, 0.5000)  4 Cu 2.61, 4 Rh 2.67, 4 Os 2.67
Rh (0.0000, 0.5000, 0.7500)  4 Os 2.61, 4 Rh 2.67, 4 Cu 2.67

Properties
Distance to the lowest polymorph of the same formula = 0.620 eV/f.u.
ΔH_f (0 K) = 0.73 eV/f.u.

Here is a PBEsol-optimized structure of Ba2InTe from Alexandria. Energies are from meta-GGA SCAN.

Unit cell a=7.6224 b=9.1570 c=4.1221 alpha=90.00 beta=90.00 gamma=90.00
With the nearest neighbours (Å) after each atom.
Space group Cmmm (No. 65)
Asymmetric unit:
Ba (0.2500, 0.2500, 0.0000)  4 In 3.62, 4 Te 3.62, 2 Ba 3.81
In (0.0000, 0.0000, 0.5000)  8 Ba 3.62, 2 Te 3.81
Te (0.0000, 0.5000, 0.5000)  8 Ba 3.62, 2 In 3.81

Here is a PBEsol-optimized structure of AgRuRh2 from Alexandria. Energies are from meta-GGA SCAN.

Unit cell a=3.8656 b=3.8656 c=3.7843 alpha=90.00 beta=90.00 gamma=90.00
With the nearest neighbours (Å) after each atom.
Space group P4/mmm (No. 123)
Asymmetric unit:
Ag (0.0000, 0.0000, 0.0000)  8 Rh 2.70, 4 Ru 2.73
Ru (0.5000, 0.5000, 0.0000)  8 Rh 2.70, 4 Ag 2.73
Rh (0.0000, 0.5000, 0.5000)  4 Ru 2.70, 4 Ag 2.70, 4 Rh 2.73

Properties
Distance to the lowest polymorph of the same formula = 1.072 eV/f.u.
ΔH_f (0 K) = 1.58 eV/f.u.

Here is a PBEsol-optimized structure of SbMoCl2 from Alexandria. Energies are from meta-GGA SCAN.

Unit cell a=2.9769 b=2.9769 c=9.5057 alpha=90.00 beta=90.00 gamma=90.00
With the nearest neighbours (Å) after each atom.
Space group P4/mmm (No. 123)
Asymmetric unit:
Sb (0.0000, 0.0000, 0.0000)  4 Sb 2.98
Mo (0.0000, 0.0000, 0.5000)  8 Cl 2.56
Cl (0.5000, 0.5000, 0.3463)  4 Mo 2.56

Properties
Distance to the lowest polymorph of the same formula = 0.000 eV/f.u.

Here is a PBEsol-optimized structure of SrCo3C from Alexandria. Energies are from meta-GGA SCAN.

Unit cell a=4.5411 b=4.5411 c=4.5411 alpha=90.00 beta=90.00 gamma=90.00
With the nearest neighbours (Å) after each atom.
Space group Pm-3m (No. 221)
Asymmetric unit:
Sr (0.0000, 0.0000, 0.0000)  6 Co 2.27
Co (0.0000, 0.0000, 0.5000)  2 Sr 2.27
C (0.5000, 0.5000, 0.5000)  12 Co 3.21

Properties
Distance to the lowest polymorph of the same formula = 14.963 eV/f.u.
ΔH_f (0 K) = 17.57 eV/f.u.

Here is a PBEsol-optimized structure of SrTiFe3Bi3O12 from Alexandria. Energies are from meta-GGA SCAN.

Unit cell a=5.5087 b=5.5087 c=26.8240 alpha=90.00 beta=90.00 gamma=120.00
With the nearest neighbours (Å) after each atom.
Space group R3 (No. 146, hexagonal axes)
Asymmetric unit:
Sr (0.0000, 0.0000, 0.0000)  6 O 2.49-2.69
Ti (0.0000, 0.0000, 0.6215)  6 O 1.88-2.06
Fe (0.0000, 0.0000, 0.1284)  6 O 1.91-1.92
Fe (0.0000, 0.0000, 0.3739)  6 O 1.93-2.10
Fe (0.0000, 0.0000, 0.8747)  6 O 1.99-2.04
Bi (0.0000, 0.0000, 0.2383)  6 O 2.37-2.40
Bi (0.0000, 0.0000, 0.4869)  6 O 2.36-2.46
Bi (0.0000, 0.0000, 0.7384)  6 O 2.32-2.48
O (0.0013, 0.5601, 0.7567)  2 Fe 1.92-2.10
O (0.0972, 0.7630, 0.5870)  1 Ti 1.88, 1 Fe 2.04
O (0.1140, 0.3538, 0.8377)  2 Fe 1.91-1.99
O (0.1275, 0.3522, 0.3398)  1 Fe 1.93, 1 Ti 2.06

Here is a PBEsol-optimized structure of InAgSnB2 from Alexandria. Energies are from meta-GGA SCAN.

Unit cell a=4.3686 b=4.3686 c=5.3320 alpha=90.00 beta=90.00 gamma=90.00
With the nearest neighbours (Å) after each atom.
Space group P4/mmm (No. 123)
Asymmetric unit:
In (0.0000, 0.0000, 0.0000)  4 B 2.18
Ag (0.0000, 0.0000, 0.5000)  2 In 2.67
Sn (0.5000, 0.5000, 0.5000)  4 Ag 3.09, 8 B 3.45
B (0.0000, 0.5000, 0.0000)  2 In 2.18

Properties
ΔH_f (0 K) = 8.17 eV/f.u.

Here is a PBEsol-optimized structure of Sc5Re2C7 from Alexandria. Energies are from meta-GGA SCAN.

Unit cell a=7.7527 b=13.5678 c=3.1870 alpha=90.00 beta=90.00 gamma=90.00
With the nearest neighbours (Å) after each atom.
Space group Cmmm (No. 65)
Asymmetric unit:
Sc (0.0000, 0.0000, 0.0000)  6 C 2.26-2.52
Sc (0.2107, 0.3723, 0.5000)  5 C 2.25-2.37
Re (0.0000, 0.2152, 0.0000)  4 C 1.99-2.06
C (0.0000, 0.1186, 0.5000)  2 Re 2.06, 4 Sc 2.25-2.26
C (0.0000, 0.5000, 0.0000)  2 C 1.36
C (0.1748, 0.5000, 0.0000)  1 C 1.36
C (0.2500, 0.2500, 0.0000)  2 Re 1.99

Properties
ΔH_f (0 K) = -8.10 eV/f.u.

Here is a PBEsol-optimized structure of MgFeTcSn2 from Alexandria. Energies are from meta-GGA SCAN.

Unit cell a=5.0890 b=5.0890 c=4.6885 alpha=90.00 beta=90.00 gamma=90.00
With the nearest neighbours (Å) after each atom.
Space group P4/mmm (No. 123)
Asymmetric unit:
Mg (0.0000, 0.0000, 0.0000)  8 Sn 3.46, 4 Fe 3.60
Fe (0.5000, 0.5000, 0.0000)  2 Tc 2.34
Tc (0.5000, 0.5000, 0.5000)  2 Fe 2.34, 4 Sn 2.54
Sn (0.0000, 0.5000, 0.5000)  2 Tc 2.54

Properties
ΔH_f (0 K) = 3.04 eV/f.u.

Here is a PBEsol-optimized structure of FeSiNO2 from Alexandria. Energies are from meta-GGA SCAN.

Unit cell a=3.4544 b=3.4544 c=3.6718 alpha=90.00 beta=90.00 gamma=90.00
With the nearest neighbours (Å) after each atom.
Space group P4/mmm (No. 123)
Asymmetric unit:
Fe (0.0000, 0.0000, 0.0000)  4 N 2.44, 8 O 2.52
Si (0.5000, 0.5000, 0.5000)  4 O 1.73, 2 N 1.84
N (0.5000, 0.5000, 0.0000)  2 Si 1.84
O (0.0000, 0.5000, 0.5000)  2 Si 1.73

no.,raw total energy (eV/atom),total magnetic moment (μB per atom)
1,-21.0686,0.000
2,-47.6960,0.000
3,-38.4723,0.000
4,-38.4704,0.000
5,-33.0388,0.607
6,-21.9506,0.000
7,-13.3445,1.036
8,-22.0270,0.550
9,-21.4730,0.000
10,-20.8700,0.000
11,-25.3926,0.722
12,-11.0595,1.001